Entry 1:
Compound: CsMnAsF6
Source: Alexandria
Functional: PBE with a Hubbard U
Structure: relaxed

Summary:
density of states at the Fermi level: 0.0 states/eV/f.u.
total energy: -5.15 eV per atom

Cell: 5.5957 5.6110 6.4005 Å, 90.90 91.04 114.86°
Positions (direct):
1 Cs 0.0000 0.0000 0.0000
2 Mn 0.3230 0.6777 0.5000
3 As 0.6763 0.3236 0.5001
4 F 0.0405 0.4319 0.7010
5 F 0.3981 0.3618 0.3370
6 F 0.4084 0.0348 0.6821
7 F 0.5664 0.9581 0.2976
8 F 0.6378 0.5986 0.6642
9 F 0.9631 0.5942 0.3197

---

Entry 2:
Compound: Cs2MoAsF6
Source: Alexandria
Functional: PBE with a Hubbard U
Structure: relaxed

Summary:
density of states at the Fermi level: 0.0 states/eV/f.u.
total energy: -4.72 eV per atom

Cell: 7.2834 7.2834 7.2834 Å, 130.87 130.87 72.02°
Positions (direct):
1 Cs 0.2500 0.7500 0.5000
2 Cs 0.7500 0.2500 0.5000
3 Mo 0.0000 0.0000 0.0000
4 As 0.5000 0.5000 0.0000
5 F 0.1768 0.1768 0.0000
6 F 0.2464 0.2464 0.4927
7 F 0.2464 0.7536 0.0000
8 F 0.7536 0.2464 0.0000
9 F 0.7536 0.7536 0.5073
10 F 0.8232 0.8232 0.0000

---

Entry 3:
Compound: CsMoAsF6
Source: Alexandria
Functional: PBE with a Hubbard U
Structure: relaxed

Summary:
total energy: -4.88 eV per atom

Cell: 5.4334 6.0146 6.3246 Å, 88.85 88.83 66.46°
Positions (direct):
1 Cs 0.0000 0.0000 0.0000
2 Mo 0.3152 0.3156 0.5328
3 As 0.6544 0.6894 0.4899
4 F 0.0615 0.5664 0.3077
5 F 0.2945 0.0049 0.4006
6 F 0.3917 0.6161 0.6654
7 F 0.4788 0.1043 0.7953
8 F 0.6738 0.2155 0.3767
9 F 0.9181 0.4376 0.6803